Record 1
PrSm2Dy2Er PBE relaxed; calculated total energy = -4.399 eV/atom; space group = Pnnm
1.0
6.554 0.000 0.000
0.000 18.046 0.000
0.000 0.000 3.423
Pr Sm Dy Er
2 4 4 2
Direct
0.000 0.000 0.000
0.500 0.500 0.500
0.220 0.188 0.000
0.280 0.688 0.500
0.720 0.312 0.500
0.780 0.812 0.000
0.216 0.354 0.500
0.284 0.854 0.000
0.716 0.146 0.000
0.784 0.646 0.500
0.000 0.500 0.000
0.500 0.000 0.500


Record 2
Pm7Pr2Er4 PBE relaxed; calculated total energy = -4.682 eV/atom; space group = P-1
1.0
6.255 0.000 0.000
-1.064 6.184 0.000
-2.089 -0.384 11.225
Pm Pr Er
7 2 4
Direct
0.000 0.000 0.000
0.079 0.845 0.305
0.231 0.540 0.924
0.385 0.232 0.539
0.615 0.768 0.461
0.769 0.460 0.076
0.921 0.155 0.695
0.153 0.695 0.618
0.847 0.305 0.382
0.309 0.384 0.228
0.463 0.079 0.848
0.537 0.921 0.152
0.691 0.616 0.772


Record 3
Al2Cd2In PBE relaxed; offset from the most stable computed form = 9 meV/atom; space group = I4/mmm
1.0
-2.152 2.152 6.245
2.152 -2.152 6.245
2.152 2.152 -6.245
Al Cd In
2 2 1
Direct
0.102 0.102 0.000
0.898 0.898 0.000
0.250 0.750 0.500
0.750 0.250 0.500
0.500 0.500 0.000


Record 4
CuHgPb2 PBE relaxed; calculated total energy = -2.793 eV/atom; space group = Immm
1.0
-1.669 2.209 7.016
1.669 -2.209 7.016
1.669 2.209 -7.016
Cu Hg Pb
1 1 2
Direct
0.000 0.000 0.000
0.500 0.500 0.000
0.176 0.676 0.500
0.824 0.324 0.500


Record 5
KTi2Nb PBE relaxed; offset from the most stable computed form = 0 meV/atom; space group = Fm-3m
1.0
0.000 3.458 3.458
3.458 0.000 3.458
3.458 3.458 0.000
K Ti Nb
1 2 1
Direct
0.000 0.000 0.000
0.250 0.250 0.250
0.750 0.750 0.750
0.500 0.500 0.500


Record 6
CsLaMg3 PBE relaxed; calculated total energy = -1.048 eV/atom; space group = Pm-3m
1.0
5.810 0.000 0.000
0.000 5.810 0.000
0.000 0.000 5.810
Cs La Mg
1 1 3
Direct
0.000 0.000 0.000
0.500 0.500 0.500
0.000 0.000 0.500
0.000 0.500 0.000
0.500 0.000 0.000


Record 7
MgSc4PbS8 PBE relaxed; energy relative to the elements, uncorrected = -1552 meV/atom; space group = R3m
1.0
3.855 2.226 6.416
-3.855 2.226 6.416
0.000 -4.452 6.416
Mg Sc Pb S
1 4 1 8
Direct
0.000 0.000 0.000
0.376 0.376 0.376
0.507 0.998 0.998
0.998 0.507 0.998
0.998 0.998 0.507
0.625 0.625 0.625
0.198 0.766 0.766
0.244 0.244 0.244
0.244 0.244 0.771
0.244 0.771 0.244
0.766 0.198 0.766
0.766 0.766 0.198
0.768 0.768 0.768
0.771 0.244 0.244


Record 8
LiSm3Sn12 PBE relaxed; calculated total energy = -4.402 eV/atom; space group = P4/mmm
1.0
4.686 0.000 0.000
0.000 4.686 0.000
0.000 0.000 19.194
Li Sm Sn
1 3 12
Direct
0.000 0.000 0.000
0.000 0.000 0.252
0.000 0.000 0.500
0.000 0.000 0.748
0.000 0.500 0.119
0.000 0.500 0.374
0.000 0.500 0.626
0.000 0.500 0.881
0.500 0.000 0.119
0.500 0.000 0.374
0.500 0.000 0.626
0.500 0.000 0.881
0.500 0.500 0.000
0.500 0.500 0.244
0.500 0.500 0.500
0.500 0.500 0.756


Record 9
CoSb4Se PBE relaxed; offset from the most stable computed form = 886 meV/atom; energy relative to the elements, uncorrected = 826 meV/atom; space group = F-43m
1.0
0.000 4.328 4.328
4.328 0.000 4.328
4.328 4.328 0.000
Co Sb Se
1 4 1
Direct
0.000 0.000 0.000
0.129 0.624 0.624
0.624 0.129 0.624
0.624 0.624 0.129
0.624 0.624 0.624
0.250 0.250 0.250


Record 10
TeMoSe2Br PBE relaxed; offset from the most stable computed form = 0 meV/atom; energy relative to the elements, uncorrected = 250 meV/atom; space group = P4/mmm
1.0
4.966 0.000 0.000
0.000 4.966 0.000
0.000 0.000 5.043
Te Mo Se Br
1 1 2 1
Direct
0.000 0.000 0.000
0.500 0.500 0.500
0.000 0.500 0.500
0.500 0.000 0.500
0.500 0.500 0.000


Record 11
Mg2TcP PBE relaxed; calculated total energy = -4.649 eV/atom; space group = Cmmm
1.0
2.657 -4.205 0.000
2.657 4.205 0.000
0.000 0.000 2.833
Mg Tc P
2 1 1
Direct
0.000 0.500 0.000
0.500 0.000 0.000
0.000 0.000 0.500
0.500 0.500 0.500


Record 12
Tb4SiC PBE relaxed; energy relative to the elements, uncorrected = -247 meV/atom; space group = Cmcm
1.0
4.560 -3.641 0.000
4.560 3.641 0.000
0.000 0.000 9.407
Tb Si C
8 2 2
Direct
0.210 0.377 0.250
0.235 0.765 0.542
0.235 0.765 0.958
0.377 0.210 0.750
0.623 0.790 0.250
0.765 0.235 0.042
0.765 0.235 0.458
0.790 0.623 0.750
0.084 0.916 0.250
0.916 0.084 0.750
0.403 0.597 0.750
0.597 0.403 0.250


Record 13
YTi2As PBE relaxed; offset from the most stable computed form = 112 meV/atom; space group = Fm-3m
1.0
0.000 3.310 3.310
3.310 0.000 3.310
3.310 3.310 0.000
Y Ti As
1 2 1
Direct
0.000 0.000 0.000
0.250 0.250 0.250
0.750 0.750 0.750
0.500 0.500 0.500